AsIF: optimized geometry, GGA-PBE.

Properties
energy above the most stable polymorph in this dataset: 0 meV per atom
raw total energy: -21.728 eV for the cell shown
formation energy without anion corrections: -0.931 eV per atom

a b c (Å): 4.732 7.095 6.466
angles (deg): 91.10 73.96 88.89
Positions (direct):
As 0.188 0.122 0.719
As 0.232 0.788 0.561
F 0.793 0.134 0.760
F 0.627 0.776 0.521
I 0.349 0.260 0.337
I 0.071 0.650 0.943